1.
BaNi2H, optimized geometry, DFT PBE-GGA; polymorph energy (0 for the lowest one) = 0.000 eV per atom; volume = 15.37 A^3/atom; magnetic moment = 0.000 μB/atom
1.0
-2.789 2.789 3.951
2.789 -2.789 3.951
2.789 2.789 -3.951
Ba Ni H
2 4 2
Cartesian
2.789 1.394 0.988 Ba
0.000 1.394 2.963 Ba
0.000 0.000 0.000 Ni
1.394 1.394 -1.976 Ni
1.394 -1.394 1.976 Ni
0.000 2.789 0.000 Ni
2.789 -1.394 2.963 H
0.000 4.183 0.988 H



2.
Rb3TbO3, optimized geometry, DFT PBE-GGA; polymorph energy (0 for the lowest one) = 0.000 eV per atom; volume = 25.05 A^3/atom; formation energy from raw total energies = -184.4 kJ/mol of atoms; magnetic moment = 0.017 μB/atom
1.0
7.838 0.000 0.000
0.000 7.457 0.000
-0.720 0.000 12.001
Rb Tb O
12 4 12
Cartesian
0.504 0.936 1.961 Rb
0.144 2.793 7.962 Rb
2.102 1.163 11.047 Rb
2.462 2.566 5.047 Rb
2.407 5.164 9.732 Rb
2.767 6.022 3.732 Rb
4.350 1.435 8.269 Rb
4.710 2.293 2.268 Rb
4.655 4.891 6.954 Rb
5.015 6.294 0.953 Rb
6.973 4.665 4.039 Rb
6.613 6.521 10.039 Rb
1.203 4.420 0.856 Tb
0.843 6.766 6.856 Tb
6.274 0.691 5.145 Tb
5.914 3.037 11.145 Tb
0.641 0.366 4.914 O
0.281 3.362 10.914 O
1.637 4.784 6.665 O
1.997 6.402 0.664 O
1.839 0.389 8.390 O
2.199 3.340 2.389 O
4.919 4.117 9.612 O
5.279 7.068 3.611 O
5.121 1.056 11.337 O
5.481 2.673 5.336 O
6.837 4.095 1.086 O
6.477 7.091 7.087 O



3.
Y2In3Cu, optimized geometry, DFT PBE-GGA; volume = 24.01 A^3/atom; formation enthalpy at 0 K = -408 meV per atom; magnetic moment = 0.000 μB/atom
1.0
5.468 -2.386 0.000
5.468 2.386 0.000
-4.753 0.000 5.519
Y In Cu
2 3 1
Cartesian
0.000 0.000 0.000 Y
-2.209 0.000 2.860 Y
3.212 0.000 0.452 In
1.045 0.000 3.483 In
5.599 0.000 2.117 In
2.809 0.000 5.515 Cu



4.
MgNbTc3, optimized geometry, DFT PBE-GGA; polymorph energy (0 for the lowest one) = 0.000 eV per atom; volume = 21.58 A^3/atom; formation enthalpy at 0 K = 1483 meV per atom; magnetic moment = 0.527 μB/atom
1.0
4.761 0.000 0.000
0.000 4.761 0.000
0.000 0.000 4.761
Mg Nb Tc
1 1 3
Cartesian
0.000 0.000 0.000 Mg
2.380 2.380 2.380 Nb
0.000 2.380 2.380 Tc
2.380 0.000 2.380 Tc
2.380 2.380 0.000 Tc